Below is an optimized crystal structure of Sm3Dy2Ho6, with properties calculated at the GGA-PBE level.

Properties
ΔH_f (0 K)   0.278 eV/atom
V   33.720 Å³/atom
Symmetry   I4/mmm (139)

abc: 16.914 16.914 16.914
angles: 163.93 163.93 22.81
Element x y z (fractional)
Sm 0.000 0.000 0.000
Sm 0.202 0.202 0.000
Sm 0.798 0.798 0.000
Dy 0.454 0.454 0.000
Dy 0.546 0.546 0.000
Ho 0.121 0.621 0.500
Ho 0.306 0.306 0.000
Ho 0.379 0.879 0.500
Ho 0.621 0.121 0.500
Ho 0.694 0.694 0.000
Ho 0.879 0.379 0.500